Mn3VP | PBE | optimized geometry

## Properties
N(E_F): 4.807 states/eV/f.u.
E: -7.317 eV/atom
energy of formation from the pure elements: 1.090 eV/atom
size of the total moment: 7.65 μB per formula unit

abc: 4.4066 4.4066 4.4066
angles: 90.00 90.00 90.00
Space group Pm-3m (No. 221)
One atom of each set of equivalent atoms:
Mn (0.0000, 0.0000, 0.5000) (multiplicity 3)
V (0.0000, 0.0000, 0.0000) (multiplicity 1)
P (0.5000, 0.5000, 0.5000) (multiplicity 1)


Mn2VP | PBE | optimized geometry

## Properties
N(E_F): 4.902 states/eV/f.u.
E: -8.066 eV/atom
energy of formation from the pure elements: 0.151 eV/atom
size of the total moment: 4.46 μB per formula unit

abc: 6.5945 6.5945 4.9332
angles: 90.00 90.00 90.00
Space group I-42d (No. 122)
One atom of each set of equivalent atoms:
Mn (0.2178, 0.7500, 0.1250) (multiplicity 8)
V (0.0000, 0.0000, 0.5000) (multiplicity 4)
P (0.0000, 0.0000, 0.0000) (multiplicity 4)


MnV2P | PBE | optimized geometry

## Properties
N(E_F): 5.324 states/eV/f.u.
E: -8.487 eV/atom
energy of formation from the pure elements: -0.283 eV/atom
size of the total moment: 0.17 μB per formula unit

abc: 5.8129 5.8129 5.8129
angles: 90.00 90.00 90.00
Space group Fm-3m (No. 225)
One atom of each set of equivalent atoms:
Mn (0.0000, 0.0000, 0.0000) (multiplicity 4)
V (0.2500, 0.2500, 0.2500) (multiplicity 8)
P (0.0000, 0.0000, 0.5000) (multiplicity 4)